A plane-wave DFT calculation with PBE was carried out for a relaxed Mo3PbN crystal.

Computed properties:
**Energy relative to the elements, uncorrected**: 0.168 eV per atom
**Energy**: -8.737 eV/atom
**N(E_F)**: 0.67 states/eV/atom

a b c (Å): 4.2286 4.2286 4.2286
angles (deg): 90.00 90.00 90.00
Closest atoms and distances in Å follow each position.
Space group Pm-3m (No. 221)
Unique sites:
Mo: 0.0000 0.0000 0.5000 [3 per cell]  2 N 2.11
Pb: 0.5000 0.5000 0.5000 [1 per cell]  12 Mo 2.99
N: 0.0000 0.0000 0.0000 [1 per cell]  6 Mo 2.11

A plane-wave DFT calculation with PBE was carried out for a relaxed MnPt3S crystal.

Computed properties:
**Energy relative to the elements, uncorrected**: 1.258 eV per atom
**Energy**: -5.026 eV/atom
**N(E_F)**: 1.34 states/eV/atom

a b c (Å): 4.5631 4.5631 4.5631
angles (deg): 90.00 90.00 90.00
Closest atoms and distances in Å follow each position.
Space group Pm-3m (No. 221)
Unique sites:
Mn: 0.0000 0.0000 0.0000 [1 per cell]  6 Pt 2.28
Pt: 0.0000 0.0000 0.5000 [3 per cell]  2 Mn 2.28
S: 0.5000 0.5000 0.5000 [1 per cell]  12 Pt 3.23

A plane-wave DFT calculation with PBE was carried out for a relaxed NaHf2MnAl crystal.

Computed properties:
**Energy**: -4.893 eV/atom
**N(E_F)**: 1.51 states/eV/atom
**ΔH_f (0 K)**: 1935 meV/atom

a b c (Å): 4.8649 4.8649 4.4483
angles (deg): 90.00 90.00 90.00
Closest atoms and distances in Å follow each position.
Space group P4/mmm (No. 123)
Unique sites:
Na: 0.0000 0.0000 0.0000 [1 per cell]  2 Al 2.22, 4 Hf 2.43
Hf: 0.0000 0.5000 0.0000 [2 per cell]  2 Na 2.43
Mn: 0.5000 0.5000 0.5000 [1 per cell]  8 Hf 3.30, 4 Al 3.44
Al: 0.0000 0.0000 0.5000 [1 per cell]  2 Na 2.22

A plane-wave DFT calculation with PBE was carried out for a relaxed BeAg2Rh crystal.

Computed properties:
**Energy**: -4.137 eV/atom
**N(E_F)**: 0.50 states/eV/atom
**ΔH_f (0 K)**: 58 meV/atom

a b c (Å): 9.7641 2.9541 4.5604
angles (deg): 90.00 117.84 90.00
Closest atoms and distances in Å follow each position.
Space group Cm (No. 8)
Unique sites:
Be: 0.0000 0.0000 0.0000 [2 per cell]  2 Rh 2.21, 2 Ag 2.45
Ag: 0.0174 0.5000 0.5216 [2 per cell]  4 Be 2.70-2.74, 4 Rh 2.90-2.92, 6 Ag 2.91-2.95
Ag: 0.2269 0.5000 0.2323 [2 per cell]  2 Be 2.45
Rh: 0.3091 0.0000 0.8147 [2 per cell]  2 Be 2.21

A plane-wave DFT calculation with PBE was carried out for a relaxed FeIrS4 crystal.

Computed properties:
**Energy relative to the elements, uncorrected**: -0.128 eV per atom
**Energy**: -5.767 eV/atom
**N(E_F)**: 0.60 states/eV/atom

a b c (Å): 7.6766 13.0581 5.2674
angles (deg): 90.00 132.72 90.00
Closest atoms and distances in Å follow each position.
Space group C2/c (No. 15)
Unique sites:
Fe: 0.0000 0.0624 0.2500 [4 per cell]  6 S 2.24-2.34
Ir: 0.0000 0.3218 0.7500 [4 per cell]  6 S 2.33-2.42
S: 0.1796 0.1974 0.2083 [8 per cell]  2 Ir 2.33-2.42, 1 Fe 2.34
S: 0.2314 0.4521 0.1731 [8 per cell]  2 Fe 2.24-2.32, 1 Ir 2.38

A plane-wave DFT calculation with PBE was carried out for a relaxed CaTm3Ru2 crystal.

Computed properties:
**Energy**: -5.832 eV/atom
**N(E_F)**: 0.72 states/eV/atom
**ΔH_f (0 K)**: -170 meV/atom

a b c (Å): 6.8255 6.8255 3.8614
angles (deg): 90.00 90.00 120.00
Closest atoms and distances in Å follow each position.
Space group P6/mmm (No. 191)
Unique sites:
Ca: 0.0000 0.0000 0.0000 [1 per cell]  2 Ca 3.86, 12 Tm 3.92, 6 Ru 3.94
Tm: 0.0000 0.5000 0.5000 [3 per cell]  4 Ru 2.76
Ru: 0.3333 0.6667 0.0000 [2 per cell]  6 Tm 2.76

A plane-wave DFT calculation with PBE was carried out for a relaxed NdZrPd2 crystal.

Computed properties:
**Energy**: -6.576 eV/atom
**N(E_F)**: 1.10 states/eV/atom
**ΔH_f (0 K)**: -651 meV/atom

a b c (Å): 3.4133 3.4133 7.3311
angles (deg): 90.00 90.00 90.00
Closest atoms and distances in Å follow each position.
Space group P4/mmm (No. 123)
Unique sites:
Nd: 0.0000 0.0000 0.0000 [1 per cell]  8 Pd 3.24, 4 Nd 3.41
Zr: 0.0000 0.0000 0.5000 [1 per cell]  8 Pd 2.85
Pd: 0.5000 0.5000 0.2945 [2 per cell]  4 Zr 2.85, 1 Pd 3.01

A plane-wave DFT calculation with PBE was carried out for a relaxed ZrCoOs2 crystal.

Computed properties:
**Energy**: -9.514 eV/atom
**N(E_F)**: 1.26 states/eV/atom
**ΔH_f (0 K)**: 14 meV/atom

a b c (Å): 3.9548 3.9548 7.6878
angles (deg): 90.00 90.00 90.00
Closest atoms and distances in Å follow each position.
Space group I-4m2 (No. 119)
Unique sites:
Zr: 0.0000 0.0000 0.0000 [2 per cell]  4 Co 2.76, 8 Os 2.76-2.80
Co: 0.0000 0.5000 0.2500 [2 per cell]  4 Zr 2.76, 8 Os 2.76-2.80
Os: 0.0000 0.0000 0.5000 [2 per cell]  4 Co 2.76, 4 Os 2.76, 4 Zr 2.80
Os: 0.0000 0.5000 0.7500 [2 per cell]  4 Zr 2.76, 4 Os 2.76, 4 Co 2.80